Computed, not measured: a relaxed structure of LiPaCoH6 at the GGA-PBE level of DFT.

POSCAR file:
```
LiPaCoH6
1.0
4.269 0.000 0.000
2.134 3.697 0.000
0.000 0.000 4.158
H Li Pa Co
6 1 1 1
direct
0.491 0.018 0.775 H
0.491 0.491 0.775 H
0.491 0.018 0.225 H
0.018 0.491 0.775 H
0.491 0.491 0.225 H
0.018 0.491 0.225 H
0.667 0.667 0.500 Li
0.000 0.000 0.000 Pa
0.333 0.333 0.500 Co
```

Results
* E: -4.55 eV per atom
* symmetry: P-6m2

***

Computed, not measured: a relaxed structure of Li2CoHPb at the GGA-PBE level of DFT.

POSCAR file:
```
Li2CoHPb
1.0
3.746 0.000 0.000
0.000 4.858 0.000
0.000 0.000 3.746
Pb Li Co H
1 2 1 1
direct
0.000 0.500 0.000 Pb
0.500 0.000 0.000 Li
0.000 0.000 0.500 Li
0.500 0.500 0.500 Co
0.000 0.000 0.000 H
```

Results
* E above lowest polymorph: 187 meV per atom
* symmetry: P4/mmm

***

Computed, not measured: a relaxed structure of Li2CoHPb at the GGA-PBE level of DFT.

POSCAR file:
```
Li2CoHPb
1.0
4.175 0.000 0.000
0.000 4.175 0.000
0.000 0.000 3.565
Co H Li Pb
1 1 2 1
direct
0.000 0.000 0.500 Co
0.000 0.000 0.000 H
0.500 0.000 0.000 Li
0.000 0.500 0.000 Li
0.500 0.500 0.500 Pb
```

Results
* E above lowest polymorph: 0 meV per atom
* symmetry: P4/mmm

***

For the records above, the corresponding mass density values read 7.7 6.8 7.5 g/cm3.